Entry 1:
Entry from Alexandria via LeMat-Bulk: crystalline RbAgHg2Pt at its relaxed geometry (PBE).

Summary:
Energy of formation   -124 meV per atom
Crystal system   tetragonal

Structure (extended XYZ):
```
5
Lattice="5.350 0.000 0.000 0.000 5.350 0.000 0.000 0.000 5.356" Properties=species:S:1:pos:R:3 pbc="T T T"
Rb 0.000 0.000 0.000
Ag 2.675 2.675 0.000
Hg 0.000 2.675 2.678
Hg 2.675 0.000 2.678
Pt 2.675 2.675 2.678
```

=====

Entry 2:
Entry from Alexandria via LeMat-Bulk: crystalline LaNiOs2 at its relaxed geometry (PBE).

Summary:
Energy above the most stable polymorph in this dataset   216 kJ/mol of formula units
Energy of formation   481 meV per atom
Crystal system   orthorhombic

Structure (extended XYZ):
```
4
Lattice="2.967 0.000 0.000 0.000 4.641 0.000 0.000 0.000 4.962" Properties=species:S:1:pos:R:3 pbc="T T T"
La 0.000 0.000 0.000
Ni 1.484 2.321 0.000
Os 0.000 2.321 2.481
Os 1.484 0.000 2.481
```

=====

Entry 3:
Entry from Alexandria via LeMat-Bulk: crystalline SrTc4W at its relaxed geometry (PBE).

Summary:
Energy of formation   603 meV per atom
Crystal system   cubic

Structure (extended XYZ):
```
6
Lattice="0.000 3.743 3.743 3.743 0.000 3.743 3.743 3.743 0.000" Properties=species:S:1:pos:R:3 pbc="T T T"
Sr 0.000 0.000 0.000
Tc 4.673 2.813 2.813
Tc 2.813 4.673 2.813
Tc 2.813 2.813 4.673
Tc 4.673 4.673 4.673
W 1.872 1.872 1.872
```

=====

Entry 4:
Entry from Alexandria via LeMat-Bulk: crystalline SiOsPd3 at its relaxed geometry (PBE).

Summary:
Energy above the most stable polymorph in this dataset   0 kJ/mol of formula units
Crystal system   cubic

Structure (extended XYZ):
```
5
Lattice="4.451 0.000 0.000 0.000 4.451 0.000 0.000 0.000 4.451" Properties=species:S:1:pos:R:3 pbc="T T T"
Si 0.000 0.000 0.000
Os 2.225 2.225 2.225
Pd 0.000 0.000 2.225
Pd 0.000 2.225 0.000
Pd 2.225 0.000 0.000
```

=====

Entry 5:
Entry from Alexandria via LeMat-Bulk: crystalline Sr6AlHg5 at its relaxed geometry (PBE).

Summary:
Energy of formation   -460 meV per atom
Crystal system   orthorhombic

Structure (extended XYZ):
```
12
Lattice="-2.820 4.018 8.474 2.820 -4.018 8.474 2.820 4.018 -8.474" Properties=species:S:1:pos:R:3 pbc="T T T"
Sr 2.820 2.003 -2.818
Sr 0.000 2.002 0.000
Sr 2.820 2.003 2.818
Sr 0.000 2.015 5.656
Sr 0.000 6.033 0.000
Sr 0.000 2.015 11.292
Al 2.820 0.000 0.000
Hg 0.000 0.000 2.764
Hg 2.820 0.000 5.672
Hg 0.000 0.000 8.474
Hg 0.000 4.018 2.803
Hg 0.000 0.000 14.185
```

=====

Entry 6:
Entry from Alexandria via LeMat-Bulk: crystalline Co2IrPd2 at its relaxed geometry (PBE).

Summary:
Energy of formation   303 meV per atom
Crystal system   tetragonal

Structure (extended XYZ):
```
10
Lattice="6.209 0.000 0.000 0.000 6.209 0.000 0.000 0.000 3.690" Properties=species:S:1:pos:R:3 pbc="T T T"
Co 0.793 2.311 0.000
Co 2.311 5.416 0.000
Co 3.898 0.793 0.000
Co 5.416 3.898 0.000
Ir 0.000 0.000 0.000
Ir 3.105 3.105 0.000
Pd 1.060 4.165 1.845
Pd 2.044 1.060 1.845
Pd 4.165 5.149 1.845
Pd 5.149 2.044 1.845
```

=====

no.,ρ (g/cm3)
1,8.55
2,14.05
3,10.50
4,10.12
5,6.73
6,12.21